A plane-wave DFT calculation with PBE-GGA was carried out for TlNi after structural relaxation.

Cell and atoms, written as POSCAR:
```
TlNi
1.0
-3.9079 3.9079 3.9079
3.9079 -3.9079 3.9079
3.9079 3.9079 -3.9079
Tl Ni
4 4
Direct
0.0000 0.0000 0.4143
0.0000 0.4143 0.0000
0.4143 0.0000 0.0000
0.5857 0.5857 0.5857
0.0000 0.0000 0.7846
0.0000 0.7846 0.0000
0.2154 0.2154 0.2154
0.7846 0.0000 0.0000
```

Output
* total energy: -3.679 eV/atom
* DOS at the Fermi energy: 0.802 states/eV per atom
* SG: I-43m
* calculated density: 7.32 g cm⁻³
* formation enthalpy at 0 K: 0.394 eV per atom

---

A plane-wave DFT calculation with PBE-GGA was carried out for TlNi4 after structural relaxation.

Cell and atoms, written as POSCAR:
```
TlNi4
1.0
4.7054 0.0000 0.0000
0.0000 4.7054 0.0000
0.0000 0.0000 4.7054
Tl Ni
1 4
Direct
0.0000 0.0000 0.0000
0.0000 0.0000 0.5000
0.0000 0.5000 0.0000
0.5000 0.0000 0.0000
0.5000 0.5000 0.5000
```

Output
* total energy: -3.386 eV/atom
* DOS at the Fermi energy: 3.244 states/eV per atom
* SG: Pm-3m
* calculated density: 7.00 g cm⁻³
* energy above the lowest structure with this stoichiometry: 146.9 kJ/mol of atoms
* formation enthalpy at 0 K: 1.713 eV per atom

---

A plane-wave DFT calculation with PBE-GGA was carried out for TlNi5 after structural relaxation.

Cell and atoms, written as POSCAR:
```
TlNi5
1.0
4.0863 -1.8234 0.0000
4.0863 1.8234 0.0000
-1.6275 0.0000 5.1215
Tl Ni
1 5
Direct
0.0000 0.0000 0.0000
0.0000 0.0000 0.5000
0.3238 0.3238 0.6454
0.3371 0.3371 0.1965
0.6629 0.6629 0.8035
0.6762 0.6762 0.3546
```

Output
* total energy: -5.039 eV/atom
* DOS at the Fermi energy: 1.700 states/eV per atom
* SG: C2/m
* calculated density: 10.83 g cm⁻³
* formation enthalpy at 0 K: 0.173 eV per atom

---

A plane-wave DFT calculation with PBE-GGA was carried out for TlNi after structural relaxation.

Cell and atoms, written as POSCAR:
```
TlNi
1.0
-1.9160 1.9160 4.8128
1.9160 -1.9160 4.8128
1.9160 1.9160 -4.8128
Tl Ni
2 2
Direct
0.3750 0.6250 0.7500
0.6250 0.3750 0.2500
0.1250 0.8750 0.2500
0.8750 0.1250 0.7500
```

Output
* total energy: -3.686 eV/atom
* DOS at the Fermi energy: 0.314 states/eV per atom
* SG: I4_1/amd
* calculated density: 12.36 g cm⁻³
* formation enthalpy at 0 K: 0.388 eV per atom

---

A plane-wave DFT calculation with PBE-GGA was carried out for TlNi4 after structural relaxation.

Cell and atoms, written as POSCAR:
```
TlNi4
1.0
-2.8348 2.8348 2.8348
2.8348 -2.8348 2.8348
2.8348 2.8348 -2.8348
Tl Ni
1 4
Direct
0.0000 0.0000 0.0000
0.0000 0.0000 0.5000
0.0000 0.5000 0.0000
0.5000 0.0000 0.0000
0.5000 0.5000 0.5000
```

Output
* total energy: -3.917 eV/atom
* DOS at the Fermi energy: 2.391 states/eV per atom
* SG: Im-3m
* calculated density: 8.00 g cm⁻³
* energy above the lowest structure with this stoichiometry: 95.7 kJ/mol of atoms
* formation enthalpy at 0 K: 1.182 eV per atom

---

A plane-wave DFT calculation with PBE-GGA was carried out for Tl3Ni2 after structural relaxation.

Cell and atoms, written as POSCAR:
```
Tl3Ni2
1.0
0.0000 6.6619 2.3952
6.4834 0.0000 2.3952
6.4834 6.6619 0.0000
Tl Ni
6 4
Direct
0.0000 0.0000 0.0000
0.0505 0.5944 0.6593
0.2500 0.2500 0.2500
0.5542 0.5907 0.6556
0.5907 0.5542 0.1995
0.5944 0.0505 0.6958
0.0838 0.5683 0.3620
0.2640 0.8880 0.6817
0.5683 0.0838 0.9860
0.8880 0.2640 0.1662
```

Output
* total energy: -3.375 eV/atom
* DOS at the Fermi energy: 0.722 states/eV per atom
* SG: Fdd2
* calculated density: 11.73 g cm⁻³
* formation enthalpy at 0 K: 0.357 eV per atom

---

Q: Which formula does entry 3 have?
A: TlNi5

---

Q: What is the formula in the fourth record?
A: TlNi

---

Q: Which value of total energy does entry 2 give?
A: -3.386 eV/atom

---

Repeat the fourth record exactly.
A plane-wave DFT calculation with PBE-GGA was carried out for TlNi after structural relaxation.

Cell and atoms, written as POSCAR:
```
TlNi
1.0
-1.9160 1.9160 4.8128
1.9160 -1.9160 4.8128
1.9160 1.9160 -4.8128
Tl Ni
2 2
Direct
0.3750 0.6250 0.7500
0.6250 0.3750 0.2500
0.1250 0.8750 0.2500
0.8750 0.1250 0.7500
```

Output
* total energy: -3.686 eV/atom
* DOS at the Fermi energy: 0.314 states/eV per atom
* SG: I4_1/amd
* calculated density: 12.36 g cm⁻³
* formation enthalpy at 0 K: 0.388 eV per atom